Record 1
Computed, not measured: a relaxed MgInP2O crystal at the PBE level of DFT.

## Properties
Polymorph energy (0 for the lowest one)   0.239 eV/atom
Uncorrected energy   -3.631 eV/atom
Crystal system   tetragonal
Formation energy without anion corrections   0.39 eV per atom
D(E_F)   1.37 states/eV per atom

Cell: 5.224 5.224 3.967 Å, 90.00 90.00 90.00°
Element x y z (fractional)
Mg 0.000 0.000 0.000
In 0.500 0.500 0.500
P 0.000 0.500 0.500
P 0.500 0.000 0.500
O 0.500 0.500 0.000

Record 2
Computed, not measured: a relaxed KMnCd2 crystal at the PBE level of DFT.

## Properties
Polymorph energy (0 for the lowest one)   0.161 eV/atom
Uncorrected energy   -2.619 eV/atom
Crystal system   orthorhombic
Formation energy from the elements   0.4051 eV/atom
D(E_F)   0.55 states/eV per atom

Cell: 6.585 6.585 6.585 Å, 152.44 129.38 58.60°
Element x y z (fractional)
K 0.000 0.000 0.000
Mn 0.280 0.780 0.500
Cd 0.484 0.484 0.000
Cd 0.719 0.219 0.500

Record 3
Computed, not measured: a relaxed BSbCBr2 crystal at the PBE level of DFT.

## Properties
Uncorrected energy   -2.819 eV/atom
Crystal system   tetragonal
Formation energy without anion corrections   1.85 eV per atom
D(E_F)   0.87 states/eV per atom

Cell: 4.421 4.421 5.194 Å, 90.00 90.00 90.00°
Element x y z (fractional)
B 0.000 0.000 0.000
Sb 0.000 0.000 0.500
C 0.500 0.500 0.500
Br 0.000 0.500 0.000
Br 0.500 0.000 0.000

Record 4
Computed, not measured: a relaxed Ac2La4Cd crystal at the PBE level of DFT.

## Properties
Uncorrected energy   -4.162 eV/atom
Crystal system   orthorhombic
Formation energy from the elements   -0.0417 eV/atom
D(E_F)   1.23 states/eV per atom

Cell: 18.265 18.265 3.815 Å, 90.00 90.00 168.03°
Element x y z (fractional)
Ac 0.202 0.798 0.000
Ac 0.798 0.202 0.000
La 0.057 0.943 0.000
La 0.372 0.628 0.500
La 0.628 0.372 0.500
La 0.943 0.057 0.000
Cd 0.500 0.500 0.500